Na3Ac4Sn4 | Alexandria | PBE | optimized geometry; ΔE_f = -0.245 eV per atom; space group = Immm (71); volume = 39.3 A^3/atom; DFT total energy = -3.55 eV per atom; calculated density = 5.58 g/cm³
1.0
5.270 0.000 0.000
0.000 8.606 0.000
-2.635 -4.303 9.534
Na Sn Ac
3 4 4
direct
0.919 0.919 0.838 Na
0.081 0.081 0.162 Na
0.000 0.500 0.000 Na
0.809 0.309 0.618 Sn
0.500 0.174 0.000 Sn
0.500 0.826 0.000 Sn
0.191 0.691 0.382 Sn
0.669 0.904 0.338 Ac
0.669 0.434 0.338 Ac
0.331 0.566 0.662 Ac
0.331 0.096 0.662 Ac